A geometry-optimized La6Tb2PrMg structure. Source: the Alexandria database, functional PBE.

- Size of the total moment: 0.00 μB per formula unit
- Formation enthalpy at 0 K: 0.09 eV/atom

```
data_La6Tb2PrMg
_symmetry_space_group_name_H-M 'C 1 2/c 1'
_symmetry_Int_Tables_number 15
_symmetry_space_group_name_Hall '-C 2yc'
_cell_length_a 10.672
_cell_length_b 13.865
_cell_length_c 9.549
_cell_angle_alpha 90.00
_cell_angle_beta 99.88
_cell_angle_gamma 90.00
loop_
_atom_site_label
_atom_site_type_symbol
_atom_site_fract_x
_atom_site_fract_y
_atom_site_fract_z
_atom_site_occupancy
La1 La 0.058 0.118 0.099 1
La2 La 0.091 0.329 0.920 1
La3 La 0.245 0.289 0.329 1
Tb1 Tb 0.233 0.468 0.596 1
Pr1 Pr 0.000 0.431 0.250 1
Mg1 Mg 0.000 0.097 0.750 1
```